Crystalline HfVIO2 at its relaxed geometry. Source: Alexandria, functional PBE with a Hubbard U.

Cell and atoms, written as POSCAR:
```
HfVIO2
1.0
4.027 0.000 0.000
0.000 4.027 0.000
0.000 0.000 5.281
I O V Hf
1 2 1 1
direct
0.000 0.000 0.500
0.500 0.000 0.000
0.000 0.500 0.000
0.000 0.000 0.000
0.500 0.500 0.500
```

## Properties
* relative energy among the computed polymorphs: 0.9505 eV per atom
* E: -6.131 eV/atom
* M_tot: 0.40 μB/atom